Here is crystalline Al2Ni8Ge at its relaxed geometry from the Alexandria database. Energies are from PBE.

Lattice parameters (Å, degrees): 6.4553 6.4553 4.2511 103.68 103.68 121.01
With the nearest neighbours (Å) after each atom.
Positions (direct):
Al  0.1978  0.8022  0.0000  8 Ni 2.35-2.50
Al  0.8022  0.1978  0.0000  8 Ni 2.35-2.50
Ni  0.1007  0.1007  0.3094  1 Ge 2.26, 6 Ni 2.31-2.51, 2 Al 2.50
Ni  0.1718  0.3939  0.8624  2 Al 2.35-2.47, 5 Ni 2.41-2.61
Ni  0.2936  0.7064  0.5000  1 Ge 2.32, 2 Al 2.38
Ni  0.3939  0.1718  0.8624  2 Al 2.35-2.47, 5 Ni 2.41-2.61
Ni  0.6061  0.8282  0.1376  2 Al 2.35-2.47, 5 Ni 2.41-2.61
Ni  0.7064  0.2936  0.5000  1 Ge 2.32, 2 Al 2.38
Ni  0.8282  0.6061  0.1376  2 Al 2.35-2.47, 5 Ni 2.41-2.61
Ni  0.8993  0.8993  0.6906  1 Ge 2.26, 6 Ni 2.31-2.51, 2 Al 2.50
Ge  0.5000  0.5000  0.5000  4 Ni 2.26-2.32

## Properties
Symmetry   No. 12
N(E_F)   9.32 states/eV/f.u.
Relative energy among the computed polymorphs   0.1573 eV per atom